Record 1
# GGA-PBE Ac2Pm2Sm3, optimized geometry
data_Ac2Pm2Sm3
_chemical_formula_sum 'Ac2 Pm2 Sm3'
_space_group_name_H-M_alt 'P 1'
_space_group_IT_number 1
_cell_length_a 3.684
_cell_length_b 8.988
_cell_length_c 9.246
_cell_angle_alpha 118.21
_cell_angle_beta 101.49
_cell_angle_gamma 90.00
loop_
_space_group_symop_operation_xyz
'x,y,z'
loop_
_atom_site_label
_atom_site_fract_x
_atom_site_fract_y
_atom_site_fract_z
Sm1 0.789 0.189 0.578
Sm2 0.211 0.811 0.422
Sm3 0.000 0.500 0.000
Pm1 0.567 0.906 0.134
Pm2 0.433 0.094 0.866
Ac1 0.855 0.674 0.711
Ac2 0.145 0.326 0.289
# Electronic total energy   -4.446 eV per atom
# Total magnetization   0.000 μB per atom
# Formation energy from the elements   0.108 eV per atom
# E above lowest polymorph   0.000 eV per atom

***

Record 2
# GGA-PBE La3FeIr, optimized geometry
data_La3FeIr
_chemical_formula_sum 'La3 Fe1 Ir1'
_space_group_name_H-M_alt 'P 1'
_space_group_IT_number 1
_cell_length_a 5.086
_cell_length_b 5.086
_cell_length_c 5.086
_cell_angle_alpha 90.00
_cell_angle_beta 90.00
_cell_angle_gamma 90.00
loop_
_space_group_symop_operation_xyz
'x,y,z'
loop_
_atom_site_label
_atom_site_fract_x
_atom_site_fract_y
_atom_site_fract_z
Fe1 0.000 0.000 0.000
Ir1 0.500 0.500 0.500
La1 0.000 0.500 0.000
La2 0.000 0.000 0.500
La3 0.500 0.000 0.000
# Electronic total energy   -6.315 eV per atom
# Total magnetization   0.000 μB per atom
# Formation energy from the elements   0.106 eV per atom
# E above lowest polymorph   0.000 eV per atom

***

Which formula does entry 1 have?
Ac2Pm2Sm3

***

What is the formula in the second record?
La3FeIr